# 1
Here is an optimized crystal structure of KNiB2F8 from Alexandria via LeMat-Bulk. Energies are from PBE+U.

abc: 7.965 7.965 7.965
angles: 36.23 36.23 36.23
Fractional coordinates of all 12 atoms:
K 0.000 0.000 0.000
Ni 0.500 0.500 0.500
B 0.248 0.248 0.248
B 0.752 0.752 0.752
F 0.043 0.500 0.774
F 0.226 0.957 0.500
F 0.311 0.311 0.311
F 0.500 0.226 0.957
F 0.500 0.774 0.043
F 0.689 0.689 0.689
F 0.774 0.043 0.500
F 0.957 0.500 0.226

=====

# 2
Here is an optimized crystal structure of KNiBF6 from Alexandria via LeMat-Bulk. Energies are from PBE+U.

abc: 4.944 4.944 5.663
angles: 90.00 90.00 120.00
Fractional coordinates of all 9 atoms:
K 0.000 0.000 0.000
Ni 0.333 0.667 0.500
B 0.667 0.333 0.500
F 0.403 0.056 0.668
F 0.403 0.347 0.332
F 0.653 0.056 0.332
F 0.653 0.597 0.668
F 0.944 0.347 0.668
F 0.944 0.597 0.332

=====

| no. | mass density (g/cm³) | M_tot (μB per atom) | raw total energy (eV/atom) |
| --- | --- | --- | --- |
| 1 | 2.9 | 0.09 | -5.18 |
| 2 | 3.1 | 0.22 | -4.75 |